(1)
VASP calculation (PBE-GGA) on crystalline ZrH3Cl at its relaxed geometry.

Values from the calculation:
Calculated density (Mg/m³): 3.59
VASP energy (Ry per atom): -0.3110

```
data_ZrH3Cl
_cell_length_a 3.913
_cell_length_b 3.913
_cell_length_c 3.913
_cell_angle_alpha 90.00
_cell_angle_beta 90.00
_cell_angle_gamma 90.00
_space_group_name_H-M_alt 'P 1'
_space_group_IT_number 1
loop_
_space_group_symop_operation_xyz
'x,y,z'
loop_
_atom_site_label
_atom_site_type_symbol
_atom_site_fract_x
_atom_site_fract_y
_atom_site_fract_z
H1 H 0.000 0.500 0.000
H2 H 0.000 0.000 0.500
H3 H 0.500 0.000 0.000
Zr1 Zr 0.000 0.000 0.000
Cl1 Cl 0.500 0.500 0.500
```

=====

(2)
VASP calculation (PBE-GGA) on crystalline ZrHCl3 at its relaxed geometry.

Values from the calculation:
Calculated density (Mg/m³): 2.57
VASP energy (Ry per atom): -0.3173

```
data_ZrHCl3
_cell_length_a 5.045
_cell_length_b 5.045
_cell_length_c 5.045
_cell_angle_alpha 90.00
_cell_angle_beta 90.00
_cell_angle_gamma 90.00
_space_group_name_H-M_alt 'P 1'
_space_group_IT_number 1
loop_
_space_group_symop_operation_xyz
'x,y,z'
loop_
_atom_site_label
_atom_site_type_symbol
_atom_site_fract_x
_atom_site_fract_y
_atom_site_fract_z
H1 H 0.500 0.500 0.500
Zr1 Zr 0.000 0.000 0.000
Cl1 Cl 0.000 0.500 0.000
Cl2 Cl 0.000 0.000 0.500
Cl3 Cl 0.500 0.000 0.000
```

=====

(3)
VASP calculation (PBE-GGA) on crystalline Zr2HCl8 at its relaxed geometry.

Values from the calculation:
Calculated density (Mg/m³): 1.89
VASP energy (Ry per atom): -0.3363

```
data_Zr2HCl8
_cell_length_a 6.639
_cell_length_b 7.866
_cell_length_c 7.866
_cell_angle_alpha 87.24
_cell_angle_beta 90.73
_cell_angle_gamma 90.73
_space_group_name_H-M_alt 'P 1'
_space_group_IT_number 1
loop_
_space_group_symop_operation_xyz
'x,y,z'
loop_
_atom_site_label
_atom_site_type_symbol
_atom_site_fract_x
_atom_site_fract_y
_atom_site_fract_z
Zr1 Zr 0.126 0.203 0.203
Zr2 Zr 0.874 0.797 0.797
H1 H 0.000 0.000 0.000
Cl1 Cl 0.755 0.067 0.708
Cl2 Cl 0.245 0.292 0.933
Cl3 Cl 0.773 0.209 0.209
Cl4 Cl 0.227 0.791 0.791
Cl5 Cl 0.755 0.708 0.067
Cl6 Cl 0.245 0.933 0.292
Cl7 Cl 0.248 0.397 0.397
Cl8 Cl 0.752 0.603 0.603
```

=====

(4)
VASP calculation (PBE-GGA) on crystalline Zr2H2Cl at its relaxed geometry.

Values from the calculation:
Calculated density (Mg/m³): 5.67
VASP energy (Ry per atom): -0.4085

```
data_Zr2H2Cl
_cell_length_a 3.189
_cell_length_b 3.189
_cell_length_c 6.718
_cell_angle_alpha 76.27
_cell_angle_beta 76.27
_cell_angle_gamma 90.00
_space_group_name_H-M_alt 'P 1'
_space_group_IT_number 1
loop_
_space_group_symop_operation_xyz
'x,y,z'
loop_
_atom_site_label
_atom_site_type_symbol
_atom_site_fract_x
_atom_site_fract_y
_atom_site_fract_z
H1 H 0.750 0.250 0.500
H2 H 0.250 0.750 0.500
Zr1 Zr 0.354 0.354 0.292
Zr2 Zr 0.646 0.646 0.708
Cl1 Cl 0.000 0.000 0.000
```

=====

Q: calculated density of number 1 (ZrH3Cl)?
A: 3.59 Mg/m³

=====

Q: The highest calculated density belongs to which entry?
A: Zr2H2Cl